DFT (PBE-GGA) results for an optimized crystal structure of ZnCd3Os.

Values from the calculation:
E_form, eV per atom: 1.296

Structure (extended XYZ):
```
5
Lattice="-0.2180 -4.2854 2.3082 3.8617 1.2542 2.6933 -2.9630 1.9499 3.3403" Properties=species:S:1:pos:R:3 pbc="T T T"
Cd 1.9308 0.6271 1.3467
Cd -1.4815 0.9749 1.6702
Cd -0.1090 -2.1427 1.1541
Zn 0.0000 0.0000 0.0000
Os 0.3403 -0.5406 4.1709
```